Record 1
La3TbY8 | PBE | relaxed

a b c (Å): 8.8628 8.8628 11.4074
angles (deg): 90.00 90.00 90.00
Space group I-42m (No. 121)
Unique sites:
La  0.0000  0.0000  0.0000 [2 per cell]
La  0.0000  0.5000  0.2500 [4 per cell]
Tb  0.0000  0.0000  0.5000 [2 per cell]
Y  0.1242  0.1242  0.7449 [8 per cell]
Y  0.2435  0.2435  0.4875 [8 per cell]

Energy relative to the elements ... 0.607 eV/atom

---

Record 2
ZrPdRh3 | PBE | relaxed

a b c (Å): 4.7488 4.7488 4.7488
angles (deg): 90.00 90.00 90.00
Space group Pm-3m (No. 221)
Unique sites:
Zr  0.0000  0.0000  0.0000 [1 per cell]
Pd  0.5000  0.5000  0.5000 [1 per cell]
Rh  0.0000  0.0000  0.5000 [3 per cell]

Energy relative to the elements ... 1.037 eV/atom
Energy relative to the lowest polymorph listed for this composition ... 0.000 eV/atom

---

Record 3
Li2CuAu | PBE | relaxed

a b c (Å): 3.8756 3.8879 7.5185
angles (deg): 90.00 90.00 90.00
Space group Immm (No. 71)
Unique sites:
Li  0.0000  0.0000  0.2501 [4 per cell]
Cu  0.0000  0.5000  0.0000 [2 per cell]
Au  0.0000  0.5000  0.5000 [2 per cell]

Energy relative to the elements ... -0.304 eV/atom

---

Record 4
LaCdSe3 | PBE | relaxed

a b c (Å): 5.7680 5.7680 5.7680
angles (deg): 90.00 90.00 90.00
Space group Pm-3m (No. 221)
Unique sites:
La  0.0000  0.0000  0.0000 [1 per cell]
Cd  0.5000  0.5000  0.5000 [1 per cell]
Se  0.0000  0.0000  0.5000 [3 per cell]

Energy relative to the elements, uncorrected ... -0.33 eV/atom
Energy relative to the lowest polymorph listed for this composition ... 0.325 eV/atom

---

Record 5
CoCuIr4 | PBE | relaxed

a b c (Å): 7.2469 7.2469 7.2469
angles (deg): 90.00 90.00 90.00
Space group F-43m (No. 216)
Unique sites:
Co  0.0000  0.0000  0.0000 [4 per cell]
Cu  0.2500  0.2500  0.2500 [4 per cell]
Ir  0.1251  0.1251  0.6251 [16 per cell]

Energy relative to the elements ... 0.657 eV/atom

---

Record 6
YH2PdCl | PBE | relaxed

a b c (Å): 4.0173 4.0173 5.6080
angles (deg): 90.00 90.00 90.00
Space group P4/mmm (No. 123)
Unique sites:
Y  0.0000  0.0000  0.0000 [1 per cell]
H  0.0000  0.5000  0.0000 [2 per cell]
Pd  0.0000  0.0000  0.5000 [1 per cell]
Cl  0.5000  0.5000  0.5000 [1 per cell]

---

Quick rundown of electronic total energy, same order as above: -5.3200, -6.1221, -3.1039, -3.5884, -7.1175, -4.2657 eV/atom
Quick rundown of size of the total moment, same order as above: 0.00, 0.69, 0.00, 0.00, 19.84, 0.00 μB per cell